# 1
LiCeLuFe PBE optimized geometry; ΔH_f (0 K) = 0.09 eV/atom; uncorrected energy = -20.48 eV/cell; SG = F-43m, No. 216; DOS at the Fermi energy = 1.292 states/eV/atom
1.0
0.000 3.400 3.400
3.400 0.000 3.400
3.400 3.400 0.000
Li Ce Lu Fe
1 1 1 1
Direct
0.000 0.000 0.000
0.250 0.250 0.250
0.750 0.750 0.750
0.500 0.500 0.500

***

# 2
Pr2NpUN6 PBE optimized geometry; uncorrected energy = -193.75 eV/cell; uncorrected formation energy = -1.314 eV/atom; SG = P2_1/c, No. 14; DOS at the Fermi energy = 0.050 states/eV/atom
1.0
5.896 0.000 0.000
0.000 6.029 0.000
-5.871 0.000 8.419
Pr Np U N
4 2 2 12
Direct
0.238 0.046 0.250
0.238 0.454 0.750
0.762 0.546 0.250
0.762 0.954 0.750
0.000 0.000 0.500
0.000 0.500 0.000
0.500 0.000 0.000
0.500 0.500 0.500
0.166 0.201 0.948
0.166 0.299 0.448
0.226 0.699 0.947
0.226 0.801 0.447
0.349 0.033 0.751
0.349 0.467 0.251
0.651 0.533 0.749
0.651 0.967 0.249
0.774 0.199 0.553
0.774 0.301 0.053
0.834 0.701 0.552
0.834 0.799 0.052

***

# 3
PrSc2Al PBE optimized geometry; ΔH_f (0 K) = -0.03 eV/atom; uncorrected energy = -21.30 eV/cell; SG = Fm-3m, No. 225; offset from the most stable computed form = 3.957 kcal/mol of atoms; DOS at the Fermi energy = 1.454 states/eV/atom
1.0
0.000 3.647 3.647
3.647 0.000 3.647
3.647 3.647 0.000
Pr Sc Al
1 2 1
Direct
0.000 0.000 0.000
0.250 0.250 0.250
0.750 0.750 0.750
0.500 0.500 0.500

***

# 4
AlCo2B PBE optimized geometry; ΔH_f (0 K) = -0.16 eV/atom; uncorrected energy = -25.26 eV/cell; SG = Fm-3m, No. 225; offset from the most stable computed form = 4.137 kcal/mol of atoms; DOS at the Fermi energy = 0.366 states/eV/atom
1.0
0.000 2.675 2.675
2.675 0.000 2.675
2.675 2.675 0.000
Al Co B
1 2 1
Direct
0.000 0.000 0.000
0.250 0.250 0.250
0.750 0.750 0.750
0.500 0.500 0.500

***

# 5
Mn2AlP PBE optimized geometry; ΔH_f (0 K) = -0.21 eV/atom; uncorrected energy = -28.34 eV/cell; SG = Imm2, No. 44; offset from the most stable computed form = 2.202 kcal/mol of atoms; DOS at the Fermi energy = 0.615 states/eV/atom
1.0
-1.425 1.773 5.078
1.425 -1.773 5.078
1.425 1.773 -5.078
Mn Al P
2 1 1
Direct
0.000 0.000 0.000
0.731 0.231 0.500
0.412 0.412 0.000
0.167 0.667 0.500

***

# 6
MgCdP2 PBE optimized geometry; ΔH_f (0 K) = 0.08 eV/atom; uncorrected energy = -12.99 eV/cell; SG = C2/m, No. 12; offset from the most stable computed form = 4.640 kcal/mol of atoms; DOS at the Fermi energy = 0.348 states/eV/atom
1.0
2.853 -3.575 0.000
2.853 3.575 0.000
-1.267 0.000 3.722
Mg Cd P
1 1 2
Direct
0.000 0.000 0.000
0.500 0.500 0.000
0.000 0.500 0.500
0.500 0.000 0.500

***

# 7
Ba3RuF6 PBE optimized geometry; uncorrected energy = -53.69 eV/cell; uncorrected formation energy = -2.742 eV/atom; SG = C2/m, No. 12; offset from the most stable computed form = 0.243 kcal/mol of atoms
1.0
4.209 -4.988 0.000
4.209 4.988 0.000
-1.027 0.000 6.407
Ba Ru F
3 1 6
Direct
0.000 0.000 0.000
0.000 0.500 0.500
0.500 0.000 0.500
0.000 0.000 0.500
0.184 0.758 0.251
0.227 0.227 0.340
0.242 0.816 0.749
0.758 0.184 0.251
0.773 0.773 0.660
0.816 0.242 0.749

***

# 8
Er2MnSi2Ni5 PBE optimized geometry; uncorrected energy = -124.62 eV/cell; uncorrected formation energy = -0.426 eV/atom; SG = P4/mbm, No. 127; DOS at the Fermi energy = 0.783 states/eV/atom
1.0
9.442 0.000 0.000
0.000 9.442 0.000
0.000 0.000 3.298
Er Mn Si Ni
4 2 4 10
Direct
0.178 0.322 0.000
0.322 0.822 0.000
0.678 0.178 0.000
0.822 0.678 0.000
0.000 0.000 0.000
0.500 0.500 0.000
0.121 0.621 0.000
0.379 0.121 0.000
0.621 0.879 0.000
0.879 0.379 0.000
0.000 0.500 0.500
0.057 0.791 0.500
0.209 0.057 0.500
0.291 0.557 0.500
0.443 0.291 0.500
0.500 0.000 0.500
0.557 0.709 0.500
0.709 0.443 0.500
0.791 0.943 0.500
0.943 0.209 0.500

***

Question: Which of these has the highest uncorrected energy?
Answer: MgCdP2

***

Question: Among the records above, which one has the highest uncorrected energy?
Answer: MgCdP2

***

Question: The highest uncorrected energy belongs to which entry?
Answer: MgCdP2

***

What did the fourth record say?
AlCo2B PBE optimized geometry; ΔH_f (0 K) = -0.16 eV/atom; uncorrected energy = -25.26 eV/cell; SG = Fm-3m, No. 225; offset from the most stable computed form = 4.137 kcal/mol of atoms; DOS at the Fermi energy = 0.366 states/eV/atom
1.0
0.000 2.675 2.675
2.675 0.000 2.675
2.675 2.675 0.000
Al Co B
1 2 1
Direct
0.000 0.000 0.000
0.250 0.250 0.250
0.750 0.750 0.750
0.500 0.500 0.500